Computed, not measured: AgHg2Ir after structural relaxation at the PBE level of DFT.

Cell: 9.229 3.089 5.406 Å, 90.00 100.94 90.00°
Element x y z (fractional)
1 Ag 0.000 0.000 0.000
2 Ag 0.500 0.500 0.000
3 Hg 0.245 0.000 0.741
4 Hg 0.255 0.500 0.259
5 Hg 0.745 0.500 0.741
6 Hg 0.755 0.000 0.259
7 Ir 0.000 0.500 0.500
8 Ir 0.500 0.000 0.500

Values from the calculation:
Energy of formation   39 kJ/mol of atoms
E_tot   -21.4 eV for the cell shown
Energy relative to the lowest polymorph listed for this composition   0.063 eV per atom
V   151.32 Å³ per cell
SG   No. 12

Computed, not measured: YMgPt after structural relaxation at the PBE level of DFT.

Cell: 6.735 6.735 6.735 Å, 90.00 90.00 90.00°
Element x y z (fractional)
1 Y 0.000 0.000 0.000
2 Y 0.000 0.500 0.500
3 Y 0.500 0.000 0.500
4 Y 0.500 0.500 0.000
5 Mg 0.250 0.250 0.750
6 Mg 0.250 0.750 0.250
7 Mg 0.750 0.250 0.250
8 Mg 0.750 0.750 0.750
9 Pt 0.250 0.250 0.250
10 Pt 0.250 0.750 0.750
11 Pt 0.750 0.250 0.750
12 Pt 0.750 0.750 0.250

Values from the calculation:
Energy of formation   -14 kJ/mol of atoms
E_tot   -58.2 eV for the cell shown
V   305.56 Å³ per cell
SG   No. 216